# 1
Material: RbAg6I8
Method: DFT, PBE
State: optimized geometry

Summary:
- V (Å³/cell) = 1665.9
- ρ (g cm⁻³) = 5.23
- DOS at the Fermi energy (states/eV per cell) = 35.02
- ΔE_f (raw) (meV per atom) = -370

Unit cell a=12.1549 b=12.1549 c=13.0202 alpha=90.00 beta=90.00 gamma=120.00
Space group R-3 (No. 148, hexagonal axes)
One atom of each set of equivalent atoms:
Rb 0.0000 0.0000 0.0000 [3 per cell]
Ag 0.0539 0.8068 0.6201 [18 per cell]
I 0.0000 0.0000 0.3236 [6 per cell]
I 0.0227 0.7249 0.1184 [18 per cell]


# 2
Material: LiGdHoNi
Method: DFT, PBE
State: optimized geometry

Summary:
- V (Å³/cell) = 339.8
- ΔH_f (0 K) (eV/atom) = -0.13
- ρ (g cm⁻³) = 7.58
- DOS at the Fermi energy (states/eV per cell) = 13.96

Unit cell a=6.978 b=6.978 c=6.978 alpha=90.00 beta=90.00 gamma=90.00
Space group F-43m (No. 216)
One atom of each set of equivalent atoms:
Li 0.000 0.000 0.000 [4 per cell]
Gd 0.250 0.250 0.250 [4 per cell]
Ho 0.250 0.250 0.750 [4 per cell]
Ni 0.000 0.000 0.500 [4 per cell]


# 3
Material: LaCr2TcNi
Method: DFT, PBE
State: optimized geometry

Summary:
- V (Å³/cell) = 101.1
- ΔH_f (0 K) (eV/atom) = 0.60
- ρ (g cm⁻³) = 6.56
- DOS at the Fermi energy (states/eV per cell) = 5.51

Unit cell a=4.580 b=4.580 c=4.819 alpha=90.00 beta=90.00 gamma=90.00
Space group P4/mmm (No. 123)
One atom of each set of equivalent atoms:
La 0.000 0.000 0.000 [1 per cell]
Cr 0.000 0.500 0.500 [2 per cell]
Tc 0.500 0.500 0.500 [1 per cell]
Ni 0.500 0.500 0.000 [1 per cell]


# 4
Material: TaCr2Cd
Method: DFT, PBE
State: optimized geometry

Summary:
- V (Å³/cell) = 131.7
- ΔH_f (0 K) (eV/atom) = 0.57
- ρ (g cm⁻³) = 10.02
- DOS at the Fermi energy (states/eV per cell) = 7.87

Unit cell a=8.866 b=2.889 c=5.217 alpha=90.00 beta=99.84 gamma=90.00
Space group C2/m (No. 12)
One atom of each set of equivalent atoms:
Ta 0.000 0.000 0.000 [2 per cell]
Cr 0.244 0.500 0.221 [4 per cell]
Cd 0.000 0.500 0.500 [2 per cell]